# Ba2GaAgS4 (PBE, relaxed)
data_Ba2GaAgS4
_chemical_formula_sum 'Ba4 Ga2 Ag2 S8'
_symmetry_space_group_name_H-M 'P 1'
_symmetry_Int_Tables_number 1
_cell_length_a 8.385
_cell_length_b 8.385
_cell_length_c 9.090
_cell_angle_alpha 122.62
_cell_angle_beta 122.62
_cell_angle_gamma 80.64
loop_
_symmetry_equiv_pos_as_xyz
'x,y,z'
loop_
_atom_site_label
_atom_site_type_symbol
_atom_site_fract_x
_atom_site_fract_y
_atom_site_fract_z
S1 S 0.777 0.727 0.004
S2 S 0.212 0.809 0.011
S3 S 0.227 0.277 0.504
S4 S 0.223 0.273 0.996
S5 S 0.773 0.723 0.496
S6 S 0.309 0.712 0.511
S7 S 0.788 0.191 0.989
S8 S 0.691 0.288 0.489
Ba1 Ba 0.500 0.000 0.000
Ba2 Ba 0.000 0.000 0.500
Ba3 Ba 0.500 0.500 0.000
Ba4 Ba 0.500 0.000 0.500
Ga1 Ga 0.500 0.500 0.500
Ga2 Ga 0.000 0.000 0.000
Ag1 Ag 0.000 0.500 0.500
Ag2 Ag 0.000 0.500 0.000
# * formation energy without anion corrections: -8.19 eV/f.u.
# * total DFT energy (no corrections): -4.303 eV/atom
# * space-group type: C2/c, No. 15

---

# BaGaAgSb2 (PBE, relaxed)
data_BaGaAgSb2
_chemical_formula_sum 'Ba2 Ga2 Ag2 Sb4'
_symmetry_space_group_name_H-M 'P 1'
_symmetry_Int_Tables_number 1
_cell_length_a 6.453
_cell_length_b 6.426
_cell_length_c 8.037
_cell_angle_alpha 113.56
_cell_angle_beta 90.00
_cell_angle_gamma 90.00
loop_
_symmetry_equiv_pos_as_xyz
'x,y,z'
loop_
_atom_site_label
_atom_site_type_symbol
_atom_site_fract_x
_atom_site_fract_y
_atom_site_fract_z
Ga1 Ga 0.000 0.000 0.000
Ga2 Ga 0.000 0.500 0.000
Sb1 Sb 0.740 0.631 0.262
Sb2 Sb 0.740 0.869 0.738
Sb3 Sb 0.260 0.131 0.262
Sb4 Sb 0.260 0.369 0.738
Ag1 Ag 0.500 0.250 0.000
Ag2 Ag 0.500 0.750 0.000
Ba1 Ba 0.239 0.750 0.500
Ba2 Ba 0.761 0.250 0.500
# * formation energy without anion corrections: -1.52 eV/f.u.
# * total DFT energy (no corrections): -3.514 eV/atom
# * space-group type: Cmme, No. 67

---

no.,magnetic moment (μB/cell)
1,0.0
2,0.0